Entry 1:
# Cs2NdAgBr6

Crystalline Cs2NdAgBr6 at its relaxed geometry (PBEsol, the Alexandria database).

```
data_Cs2NdAgBr6
_space_group_name_H-M_alt 'P 1'
_space_group_IT_number 1
_cell_length_a 7.955
_cell_length_b 7.955
_cell_length_c 7.955
_cell_angle_alpha 60.00
_cell_angle_beta 60.00
_cell_angle_gamma 60.00
loop_
_space_group_symop_operation_xyz
'x,y,z'
loop_
_atom_site_label
_atom_site_type_symbol
_atom_site_fract_x
_atom_site_fract_y
_atom_site_fract_z
Ag1 Ag 0.000 0.000 0.000
Br1 Br 0.753 0.753 0.247
Br2 Br 0.247 0.753 0.753
Br3 Br 0.247 0.247 0.753
Br4 Br 0.753 0.247 0.247
Br5 Br 0.753 0.247 0.753
Br6 Br 0.247 0.753 0.247
Nd1 Nd 0.500 0.500 0.500
Cs1 Cs 0.750 0.750 0.750
Cs2 Cs 0.250 0.250 0.250
```

Calculated values
Energy   -0.1360 Ha/atom
Formation energy (no corrections)   -1.541 eV/atom
Symmetry   No. 225
DOS at the Fermi energy   0.0 states/eV/cell
Total magnetic moment   0.000 μB per formula unit
Mass density   4.653 g/cm3

=====

Entry 2:
# Cs2ReAgBr

Crystalline Cs2ReAgBr at its relaxed geometry (PBEsol, the Alexandria database).

```
data_Cs2ReAgBr
_space_group_name_H-M_alt 'P 1'
_space_group_IT_number 1
_cell_length_a 5.191
_cell_length_b 6.661
_cell_length_c 6.661
_cell_angle_alpha 90.00
_cell_angle_beta 90.00
_cell_angle_gamma 90.00
loop_
_space_group_symop_operation_xyz
'x,y,z'
loop_
_atom_site_label
_atom_site_type_symbol
_atom_site_fract_x
_atom_site_fract_y
_atom_site_fract_z
Cs1 Cs 0.000 0.000 0.500
Cs2 Cs 0.000 0.500 0.000
Re1 Re 0.500 0.500 0.500
Ag1 Ag 0.500 0.000 0.000
Br1 Br 0.000 0.000 0.000
```

Calculated values
Energy   -0.1079 Ha/atom
Formation energy (no corrections)   1.145 eV/atom
Symmetry   No. 123
DOS at the Fermi energy   5.9 states/eV/cell
Total magnetic moment   4.099 μB per formula unit
Mass density   4.613 g/cm3

=====

Entry 3:
# Cu2AgBr

Crystalline Cu2AgBr at its relaxed geometry (PBEsol, the Alexandria database).

```
data_Cu2AgBr
_space_group_name_H-M_alt 'P 1'
_space_group_IT_number 1
_cell_length_a 3.287
_cell_length_b 3.287
_cell_length_c 7.358
_cell_angle_alpha 77.10
_cell_angle_beta 77.10
_cell_angle_gamma 60.00
loop_
_space_group_symop_operation_xyz
'x,y,z'
loop_
_atom_site_label
_atom_site_type_symbol
_atom_site_fract_x
_atom_site_fract_y
_atom_site_fract_z
Ag1 Ag 0.500 0.500 0.500
Cu1 Cu 0.250 0.250 0.251
Cu2 Cu 0.750 0.750 0.749
Br1 Br 0.000 0.000 0.000
```

Calculated values
Energy   -0.1165 Ha/atom
Formation energy (no corrections)   0.292 eV/atom
Symmetry   No. 166
DOS at the Fermi energy   0.9 states/eV/cell
Total magnetic moment   0.000 μB per formula unit
Energy above the most stable polymorph in this dataset   38 meV per atom
Mass density   7.862 g/cm3

=====

The lowest energy belongs to which entry?
Cs2NdAgBr6